# 1
Material: TbPr2Ho6Sc3
Method: DFT, PBE
State: optimized geometry

SG ... C2/m
DFT formation energy ... 0.048 eV per atom
Total magnetic moment ... 0.00 μB per formula unit

Cell lengths 6.076, 6.076, 11.517 Å; angles 95.04, 95.04, 119.99 degrees
Fractional positions:
Tb1 0.000 0.000 0.000
Pr1 0.333 0.667 0.000
Pr2 0.667 0.333 0.000
Ho1 0.913 0.580 0.738
Ho2 0.755 0.755 0.262
Ho3 0.087 0.420 0.262
Ho4 0.580 0.913 0.738
Ho5 0.245 0.245 0.738
Ho6 0.420 0.087 0.262
Sc1 0.167 0.833 0.500
Sc2 0.833 0.167 0.500
Sc3 0.500 0.500 0.500

***

# 2
Material: Tb2PrHoSc4
Method: DFT, PBE
State: optimized geometry

SG ... P2/m
DFT formation energy ... 0.064 eV per atom
Total magnetic moment ... 0.00 μB per formula unit

Cell lengths 3.448, 5.956, 11.184 Å; angles 79.69, 90.00, 90.00 degrees
Fractional positions:
Tb1 0.000 0.000 0.000
Tb2 0.500 0.000 0.500
Pr1 0.500 0.500 0.000
Ho1 0.000 0.500 0.500
Sc1 0.000 0.751 0.748
Sc2 0.000 0.249 0.252
Sc3 0.500 0.750 0.252
Sc4 0.500 0.250 0.748

***

# 3
Material: TbPrHoSc
Method: DFT, PBE
State: optimized geometry

SG ... Cm
DFT formation energy ... 0.109 eV per atom
Total magnetic moment ... 0.00 μB per formula unit

Cell lengths 3.809, 5.647, 6.705 Å; angles 114.90, 73.47, 90.00 degrees
Fractional positions:
Tb1 0.426 0.136 0.272
Pr1 0.651 0.413 0.825
Ho1 0.192 0.871 0.743
Sc1 0.918 0.645 0.289

***

no.,density of states at the Fermi level (states/eV per cell)
1,17.601
2,11.327
3,7.091